# 1
Computed, not measured: an optimized crystal structure of PrNdGeCl2 at the PBE level of DFT.

a = 4.268 Å, b = 4.268 Å, c = 9.891 Å
α = 90.00°, β = 90.00°, γ = 120.00°
Element x y z (fractional)
Pr 0.000 0.000 0.000
Nd 0.333 0.667 0.657
Ge 0.667 0.333 0.828
Cl 0.000 0.000 0.498
Cl 0.333 0.667 0.159

Calculated values
Spin magnetization   0.01 μB per formula unit
SG   No. 156
Electronic total energy   -26.053 eV per formula unit

***

# 2
Computed, not measured: an optimized crystal structure of Tb16B4Br23 at the PBE level of DFT.

a = 10.800 Å, b = 10.800 Å, c = 12.174 Å
α = 101.77°, β = 101.77°, γ = 68.58°
Element x y z (fractional)
Tb 0.189 0.189 0.228
Tb 0.191 0.485 0.130
Tb 0.191 0.804 0.650
Tb 0.196 0.809 0.350
Tb 0.203 0.500 0.438
Tb 0.485 0.191 0.130
Tb 0.494 0.494 0.352
Tb 0.500 0.203 0.438
Tb 0.500 0.797 0.562
Tb 0.506 0.506 0.648
Tb 0.515 0.809 0.870
Tb 0.797 0.500 0.562
Tb 0.804 0.191 0.650
Tb 0.809 0.196 0.350
Tb 0.809 0.515 0.870
Tb 0.811 0.811 0.772
B 0.331 0.669 0.500
B 0.334 0.334 0.274
B 0.666 0.666 0.726
B 0.669 0.331 0.500
Br 0.000 0.000 0.500
Br 0.002 0.341 0.059
Br 0.003 0.341 0.395
Br 0.003 0.673 0.277
Br 0.015 0.015 0.194
Br 0.327 0.997 0.723
Br 0.332 0.662 0.834
Br 0.333 0.333 0.614
Br 0.336 0.336 0.951
Br 0.338 0.668 0.166
Br 0.341 0.002 0.059
Br 0.341 0.003 0.395
Br 0.659 0.997 0.605
Br 0.659 0.998 0.941
Br 0.662 0.332 0.834
Br 0.664 0.664 0.049
Br 0.667 0.667 0.386
Br 0.668 0.338 0.166
Br 0.673 0.003 0.277
Br 0.985 0.985 0.806
Br 0.997 0.327 0.723
Br 0.997 0.659 0.605
Br 0.998 0.659 0.941

Calculated values
Spin magnetization   0.98 μB per formula unit
SG   No. 12
Electronic total energy   -203.233 eV per formula unit

***

# 3
Computed, not measured: an optimized crystal structure of ScTaCoCu at the PBE level of DFT.

a = 4.348 Å, b = 4.348 Å, c = 4.348 Å
α = 60.00°, β = 60.00°, γ = 60.00°
Element x y z (fractional)
Sc 0.000 0.000 0.000
Ta 0.750 0.750 0.750
Co 0.500 0.500 0.500
Cu 0.250 0.250 0.250

Calculated values
Spin magnetization   0.00 μB per formula unit
SG   No. 216
Energy above the most stable polymorph in this dataset   141 meV/atom
Energy relative to the elements   0.0646 eV per atom

***

# 4
Computed, not measured: an optimized crystal structure of CsCoB4 at the PBE level of DFT.

a = 5.857 Å, b = 5.857 Å, c = 5.857 Å
α = 152.06°, β = 122.26°, γ = 65.34°
Element x y z (fractional)
Cs 0.000 0.000 0.000
Co 0.500 0.500 0.000
B 0.118 0.765 0.352
B 0.413 0.765 0.648
B 0.587 0.235 0.352
B 0.882 0.235 0.648

Calculated values
Spin magnetization   1.50 μB per formula unit
SG   No. 71
Energy above the most stable polymorph in this dataset   742 meV/atom

***

# 5
Computed, not measured: an optimized crystal structure of ZrOs at the PBE level of DFT.

a = 3.085 Å, b = 3.085 Å, c = 4.367 Å
α = 90.00°, β = 90.00°, γ = 120.00°
Element x y z (fractional)
Zr 0.000 0.000 0.000
Os 0.333 0.667 0.500

Calculated values
Spin magnetization   0.00 μB per formula unit
SG   No. 187
Energy relative to the elements   0.0974 eV per atom

***

# 6
Computed, not measured: an optimized crystal structure of NiBiMo4C2 at the PBE level of DFT.

a = 3.152 Å, b = 3.152 Å, c = 13.416 Å
α = 90.00°, β = 90.00°, γ = 120.00°
Element x y z (fractional)
Ni 0.000 0.000 0.000
Bi 0.667 0.333 0.500
Mo 0.000 0.000 0.307
Mo 0.000 0.000 0.693
Mo 0.667 0.333 0.142
Mo 0.667 0.333 0.858
C 0.333 0.667 0.228
C 0.333 0.667 0.772

Calculated values
Spin magnetization   0.00 μB per formula unit
SG   No. 187
Electronic total energy   -69.722 eV per formula unit

***

# 7
Computed, not measured: an optimized crystal structure of LaNiS3 at the PBE level of DFT.

a = 7.656 Å, b = 3.793 Å, c = 12.971 Å
α = 90.00°, β = 90.00°, γ = 90.00°
Element x y z (fractional)
La 0.097 0.250 0.170
La 0.403 0.750 0.670
La 0.597 0.250 0.330
La 0.903 0.750 0.830
Ni 0.163 0.750 0.448
Ni 0.337 0.250 0.948
Ni 0.663 0.750 0.052
Ni 0.837 0.250 0.552
S 0.007 0.750 0.598
S 0.159 0.750 0.000
S 0.194 0.250 0.790
S 0.306 0.750 0.290
S 0.341 0.250 0.500
S 0.493 0.250 0.098
S 0.507 0.750 0.902
S 0.659 0.750 0.500
S 0.694 0.250 0.710
S 0.806 0.750 0.210
S 0.841 0.250 0.000
S 0.993 0.250 0.402

Calculated values
Spin magnetization   0.34 μB per formula unit
SG   No. 62
Electronic total energy   -28.667 eV per formula unit

***

# 8
Computed, not measured: an optimized crystal structure of NbInFeCo at the PBE level of DFT.

a = 4.421 Å, b = 4.421 Å, c = 4.421 Å
α = 60.00°, β = 60.00°, γ = 60.00°
Element x y z (fractional)
Nb 0.000 0.000 0.000
In 0.250 0.250 0.250
Fe 0.750 0.750 0.750
Co 0.500 0.500 0.500

Calculated values
Spin magnetization   3.13 μB per formula unit
SG   No. 216
Energy above the most stable polymorph in this dataset   254 meV/atom

***

# 9
Computed, not measured: an optimized crystal structure of BaZrAgAu at the PBE level of DFT.

a = 5.289 Å, b = 5.289 Å, c = 5.289 Å
α = 60.00°, β = 60.00°, γ = 60.00°
Element x y z (fractional)
Ba 0.000 0.000 0.000
Zr 0.500 0.500 0.500
Ag 0.250 0.250 0.250
Au 0.750 0.750 0.750

Calculated values
Spin magnetization   0.25 μB per formula unit
SG   No. 216
Energy above the most stable polymorph in this dataset   0 meV/atom

***

# 10
Computed, not measured: an optimized crystal structure of TmSiNO at the PBE level of DFT.

a = 4.498 Å, b = 4.498 Å, c = 4.873 Å
α = 90.00°, β = 90.00°, γ = 90.00°
Element x y z (fractional)
Tm 0.250 0.750 0.000
Tm 0.750 0.250 0.000
Si 0.250 0.250 0.497
Si 0.750 0.750 0.503
N 0.250 0.250 0.853
N 0.750 0.750 0.147
O 0.250 0.750 0.500
O 0.750 0.250 0.500

Calculated values
Spin magnetization   0.00 μB per formula unit
SG   No. 129
Energy above the most stable polymorph in this dataset   297 meV/atom

***

# 11
Computed, not measured: an optimized crystal structure of PuSbI6 at the PBE level of DFT.

a = 7.807 Å, b = 7.807 Å, c = 7.778 Å
α = 99.58°, β = 99.58°, γ = 119.69°
Element x y z (fractional)
Pu 0.000 0.000 0.000
Sb 0.333 0.667 0.000
I 0.098 0.417 0.237
I 0.240 0.262 0.762
I 0.393 0.054 0.242
I 0.583 0.902 0.763
I 0.738 0.760 0.238
I 0.946 0.607 0.758

Calculated values
Spin magnetization   5.00 μB per formula unit
SG   No. 5
Electronic total energy   -33.316 eV per formula unit

***

# 12
Computed, not measured: an optimized crystal structure of AlZn at the PBE level of DFT.

a = 5.600 Å, b = 4.669 Å, c = 7.404 Å
α = 90.00°, β = 100.60°, γ = 90.00°
Element x y z (fractional)
Al 0.139 0.250 0.059
Al 0.304 0.250 0.718
Al 0.360 0.750 0.943
Al 0.640 0.250 0.057
Al 0.696 0.750 0.282
Al 0.861 0.750 0.941
Zn 0.027 0.750 0.610
Zn 0.196 0.750 0.283
Zn 0.472 0.250 0.389
Zn 0.528 0.750 0.611
Zn 0.804 0.250 0.717
Zn 0.973 0.250 0.390

Calculated values
SG   No. 11
Electronic total energy   -4.893 eV per formula unit

***

What did the fifth record say?
Computed, not measured: an optimized crystal structure of ZrOs at the PBE level of DFT.

a = 3.085 Å, b = 3.085 Å, c = 4.367 Å
α = 90.00°, β = 90.00°, γ = 120.00°
Element x y z (fractional)
Zr 0.000 0.000 0.000
Os 0.333 0.667 0.500

Calculated values
Spin magnetization   0.00 μB per formula unit
SG   No. 187
Energy relative to the elements   0.0974 eV per atom